Tb2Ni3Sn2 after structural relaxation. Source: Alexandria, functional PBE. Values from VASP.

Geometry as Quantum ESPRESSO input:
```
&SYSTEM
  ibrav = 0, nat = 14, ntyp = 3
/
ATOMIC_SPECIES
Tb 158.93 Tb.upf
Ni 58.69 Ni.upf
Sn 118.71 Sn.upf
CELL_PARAMETERS angstrom
-4.168 4.168 4.168
4.168 -4.168 4.168
4.168 4.168 -4.168
ATOMIC_POSITIONS crystal
Tb 0.000 0.496 0.500
Tb 0.004 0.004 0.004
Tb 0.496 0.500 0.000
Tb 0.500 0.000 0.496
Ni 0.036 0.286 0.750
Ni 0.214 0.250 0.464
Ni 0.250 0.464 0.214
Ni 0.286 0.750 0.036
Ni 0.464 0.214 0.250
Ni 0.750 0.036 0.286
Sn 0.000 0.920 0.500
Sn 0.500 0.000 0.920
Sn 0.580 0.580 0.580
Sn 0.920 0.500 0.000
```

## Properties
The calculation puts the energy of formation from the pure elements at -0.39 eV per atom. As for the space group: I2_13 (199). As for the crystal system: cubic. The uncorrected energy comes out at -74.73 eV for the cell shown. The total magnetization comes out at 0.00 μB/cell.